1.
Li2VO2F2 after structural relaxation. Source: the Alexandria database, functional PBE with a Hubbard U.

Cell lengths 5.0745, 5.1185, 5.8980 Å; angles 90.00, 90.00, 109.66 degrees
Element x y z (fractional)
Li  0.7500  0.0000  0.8673
Li  0.2500  0.0000  0.1327
Li  0.7500  0.0000  0.3947
Li  0.2500  0.0000  0.6053
V  0.7500  0.5000  0.1174
V  0.2500  0.5000  0.8826
O  0.5250  0.7225  0.1044
O  0.9750  0.2775  0.1044
O  0.0250  0.7225  0.8956
O  0.4750  0.2775  0.8956
F  0.5174  0.2263  0.3524
F  0.0174  0.2263  0.6476
F  0.9826  0.7737  0.3524
F  0.4826  0.7737  0.6476

As for the space group: P2/c, No. 13. The value obtained for the distance to the lowest polymorph of the same formula is 0.029 eV per atom. The theoretical density comes out at 3.10 Mg/m³.

=====

2.
CrCoO after structural relaxation. Source: the Alexandria database, functional PBE with a Hubbard U.

Cell lengths 2.9226, 2.9226, 17.9072 Å; angles 90.00, 90.00, 90.00 degrees
Element x y z (fractional)
Cr  0.0000  0.0000  0.2031
Cr  0.5000  0.5000  0.7031
Cr  0.0000  0.0000  0.5453
Cr  0.5000  0.5000  0.0453
Co  0.0000  0.0000  0.3902
Co  0.5000  0.5000  0.8902
Co  0.0000  0.0000  0.8199
Co  0.5000  0.5000  0.3199
O  0.0000  0.0000  0.0600
O  0.5000  0.5000  0.5600
O  0.0000  0.0000  0.6957
O  0.5000  0.5000  0.1957

As for the space group: I4mm, No. 107. The value obtained for the distance to the lowest polymorph of the same formula is 0.179 eV per atom. The theoretical density comes out at 5.51 Mg/m³.